[1]
Crystalline Ac2DyVO6 at its relaxed geometry, computed with PBE+U.

a b c (Å): 5.8650 5.9712 8.4081
angles (deg): 90.00 89.53 90.00
Fractional coordinates of all 20 atoms:
Ac: 0.0108 0.9560 0.2506
Ac: 0.5108 0.5440 0.7506
Ac: 0.9892 0.0440 0.7494
Ac: 0.4892 0.4560 0.2494
Dy: 0.5000 0.0000 0.5000
Dy: 0.0000 0.5000 0.0000
V: 0.5000 0.0000 0.0000
V: 0.0000 0.5000 0.5000
O: 0.3061 0.7174 0.0499
O: 0.8061 0.7826 0.5499
O: 0.6939 0.2826 0.9501
O: 0.1939 0.2174 0.4501
O: 0.2818 0.6974 0.4518
O: 0.7818 0.8026 0.9518
O: 0.7182 0.3026 0.5482
O: 0.2182 0.1974 0.0482
O: 0.9080 0.5291 0.2596
O: 0.4080 0.9709 0.7596
O: 0.0920 0.4709 0.7404
O: 0.5920 0.0291 0.2404

Values from the calculation:
As for the total energy: -8.110 eV/atom. The calculation puts the density at 8.6 g/cm³.



[2]
Crystalline AcDyWO6 at its relaxed geometry, computed with PBE+U.

a b c (Å): 5.2317 5.6194 5.6194
angles (deg): 120.00 90.00 90.00
Fractional coordinates of all 9 atoms:
Ac: 0.0000 0.3333 0.6667
Dy: 0.5000 0.6667 0.3333
W: 0.5000 0.0000 0.0000
O: 0.7117 0.7176 0.7055
O: 0.7117 0.2945 0.0122
O: 0.7117 0.9878 0.2824
O: 0.2883 0.2945 0.2824
O: 0.2883 0.7176 0.0122
O: 0.2883 0.9878 0.7055

Values from the calculation:
As for the total energy: -8.007 eV/atom. The calculation puts the density at 7.8 g/cm³.